DFT (PBE) results for an optimized crystal structure of PmThPt.

a b c (Å): 5.008 5.008 5.008
angles (deg): 60.00 60.00 60.00
Fractional positions:
Pm (0.000, 0.000, 0.000)
Th (0.500, 0.500, 0.500)
Pt (0.250, 0.250, 0.250)

Calculated values
The value obtained for the mass density is 10700 kg/m3. Its polymorph energy (0 for the lowest one) is 0 meV per atom. The formation energy comes out at -1.788 eV per formula unit.


DFT (PBE) results for an optimized crystal structure of PmUPt.

a b c (Å): 4.861 4.861 4.861
angles (deg): 60.00 60.00 60.00
Fractional positions:
Pm (0.000, 0.000, 0.000)
U (0.500, 0.500, 0.500)
Pt (0.250, 0.250, 0.250)

Calculated values
The value obtained for the mass density is 11823 kg/m3. Its polymorph energy (0 for the lowest one) is 0 meV per atom. The formation energy comes out at -0.436 eV per formula unit.


DFT (PBE) results for an optimized crystal structure of PmYPt.

a b c (Å): 4.792 4.792 4.792
angles (deg): 60.00 60.00 60.00
Fractional positions:
Pm (0.000, 0.000, 0.000)
Y (0.250, 0.250, 0.250)
Pt (0.500, 0.500, 0.500)

Calculated values
The value obtained for the mass density is 9157 kg/m3. The formation energy comes out at -0.286 eV per formula unit.


DFT (PBE) results for an optimized crystal structure of Pm3ZnPt8.

a b c (Å): 9.439 9.439 9.439
angles (deg): 33.64 33.64 33.64
Fractional positions:
Pm (0.000, 0.000, 0.000)
Pm (0.130, 0.130, 0.130)
Pm (0.518, 0.518, 0.518)
Zn (0.647, 0.647, 0.647)
Pt (0.070, 0.070, 0.566)
Pt (0.070, 0.566, 0.070)
Pt (0.070, 0.569, 0.569)
Pt (0.318, 0.318, 0.318)
Pt (0.566, 0.070, 0.070)
Pt (0.569, 0.070, 0.569)
Pt (0.569, 0.569, 0.070)
Pt (0.819, 0.819, 0.819)

Calculated values
The value obtained for the mass density is 14884 kg/m3. The formation energy comes out at -11.208 eV per formula unit.


DFT (PBE) results for an optimized crystal structure of PmZnPt.

a b c (Å): 7.135 4.218 8.253
angles (deg): 90.00 90.00 90.00
Fractional positions:
Pm (0.038, 0.250, 0.191)
Pm (0.462, 0.750, 0.691)
Pm (0.538, 0.250, 0.309)
Pm (0.962, 0.750, 0.809)
Zn (0.143, 0.250, 0.567)
Zn (0.357, 0.750, 0.067)
Zn (0.643, 0.250, 0.933)
Zn (0.857, 0.750, 0.433)
Pt (0.242, 0.750, 0.385)
Pt (0.258, 0.250, 0.885)
Pt (0.742, 0.750, 0.115)
Pt (0.758, 0.250, 0.615)

Calculated values
The value obtained for the mass density is 10844 kg/m3. Its polymorph energy (0 for the lowest one) is 0 meV per atom. The formation energy comes out at -2.742 eV per formula unit.


DFT (PBE) results for an optimized crystal structure of PmZnPt.

a b c (Å): 4.775 4.775 4.775
angles (deg): 60.00 60.00 60.00
Fractional positions:
Pm (0.000, 0.000, 0.000)
Zn (0.250, 0.250, 0.250)
Pt (0.750, 0.750, 0.750)

Calculated values
The value obtained for the mass density is 8746 kg/m3. Its polymorph energy (0 for the lowest one) is 674 meV per atom. The formation energy comes out at -0.721 eV per formula unit.


DFT (PBE) results for an optimized crystal structure of PmZnPt.

a b c (Å): 4.669 4.669 4.669
angles (deg): 60.00 60.00 60.00
Fractional positions:
Pm (0.000, 0.000, 0.000)
Zn (0.500, 0.500, 0.500)
Pt (0.250, 0.250, 0.250)

Calculated values
The value obtained for the mass density is 9358 kg/m3. Its polymorph energy (0 for the lowest one) is 180 meV per atom. The formation energy comes out at -2.203 eV per formula unit.


DFT (PBE) results for an optimized crystal structure of Pm2ZnPt.

a b c (Å): 5.972 4.570 7.748
angles (deg): 90.00 112.08 90.00
Fractional positions:
Pm (0.183, 0.250, 0.416)
Pm (0.283, 0.750, 0.070)
Pm (0.717, 0.250, 0.930)
Pm (0.817, 0.750, 0.584)
Zn (0.373, 0.750, 0.707)
Zn (0.627, 0.250, 0.293)
Pt (0.148, 0.250, 0.789)
Pt (0.852, 0.750, 0.211)

Calculated values
The value obtained for the mass density is 9329 kg/m3. The formation energy comes out at -3.039 eV per formula unit.


DFT (PBE) results for an optimized crystal structure of PmZn4Pt2.

a b c (Å): 7.586 7.586 4.277
angles (deg): 90.00 90.00 90.00
Fractional positions:
Pm (0.000, 0.000, 0.000)
Pm (0.500, 0.500, 0.500)
Zn (0.096, 0.351, 0.500)
Zn (0.149, 0.596, 0.000)
Zn (0.351, 0.096, 0.500)
Zn (0.404, 0.851, 0.000)
Zn (0.596, 0.149, 0.000)
Zn (0.649, 0.904, 0.500)
Zn (0.851, 0.404, 0.000)
Zn (0.904, 0.649, 0.500)
Pt (0.217, 0.783, 0.500)
Pt (0.283, 0.283, 0.000)
Pt (0.717, 0.717, 0.000)
Pt (0.783, 0.217, 0.500)

Calculated values
The value obtained for the mass density is 10752 kg/m3. The formation energy comes out at -4.600 eV per formula unit.


DFT (PBE) results for an optimized crystal structure of Pm2Pu.

a b c (Å): 8.572 8.572 8.572
angles (deg): 60.00 60.00 60.00
Fractional positions:
Pm (0.000, 0.000, 0.000)
Pm (0.000, 0.000, 0.500)
Pm (0.000, 0.500, 0.000)
Pm (0.500, 0.000, 0.000)
Pu (0.125, 0.125, 0.125)
Pu (0.875, 0.875, 0.875)

Calculated values
The value obtained for the mass density is 3982 kg/m3. The formation energy comes out at 6.240 eV per formula unit.


DFT (PBE) results for an optimized crystal structure of PmPu.

a b c (Å): 4.720 4.720 4.720
angles (deg): 60.00 60.00 60.00
Fractional positions:
Pm (0.000, 0.000, 0.000)
Pu (0.750, 0.750, 0.750)

Calculated values
The value obtained for the mass density is 8690 kg/m3. Its polymorph energy (0 for the lowest one) is 1376 meV per atom. The formation energy comes out at 3.007 eV per formula unit.


DFT (PBE) results for an optimized crystal structure of PmPu.

a b c (Å): 3.517 3.517 5.791
angles (deg): 90.00 90.00 120.00
Fractional positions:
Pm (0.000, 0.000, 0.000)
Pu (0.667, 0.333, 0.500)

Calculated values
The value obtained for the mass density is 10413 kg/m3. Its polymorph energy (0 for the lowest one) is 0 meV per atom. The formation energy comes out at 0.254 eV per formula unit.


DFT (PBE) results for an optimized crystal structure of PmPu.

a b c (Å): 4.501 4.501 4.501
angles (deg): 60.00 60.00 60.00
Fractional positions:
Pm (0.000, 0.000, 0.000)
Pu (0.500, 0.500, 0.500)

Calculated values
The value obtained for the mass density is 10015 kg/m3. Its polymorph energy (0 for the lowest one) is 577 meV per atom. The formation energy comes out at 1.408 eV per formula unit.


DFT (PBE) results for an optimized crystal structure of RbPmPu.

a b c (Å): 6.107 6.107 6.107
angles (deg): 60.00 60.00 60.00
Fractional positions:
Rb (0.000, 0.000, 0.000)
Pm (0.500, 0.500, 0.500)
Pu (0.250, 0.250, 0.250)

Calculated values
The value obtained for the mass density is 4892 kg/m3. The total energy is -16.09 eV per cell.


DFT (PBE) results for an optimized crystal structure of PmPuRe.

a b c (Å): 4.799 4.799 4.799
angles (deg): 60.00 60.00 60.00
Fractional positions:
Pm (0.000, 0.000, 0.000)
Pu (0.500, 0.500, 0.500)
Re (0.750, 0.750, 0.750)

Calculated values
The value obtained for the mass density is 12219 kg/m3. Its polymorph energy (0 for the lowest one) is 0 meV per atom. The formation energy comes out at 1.177 eV per formula unit.


DFT (PBE) results for an optimized crystal structure of PmPuSb.

a b c (Å): 5.204 5.204 5.204
angles (deg): 60.00 60.00 60.00
Fractional positions:
Pm (0.000, 0.000, 0.000)
Pu (0.250, 0.250, 0.250)
Sb (0.500, 0.500, 0.500)

Calculated values
The value obtained for the mass density is 8511 kg/m3. The total energy is -23.07 eV per cell.


DFT (PBE) results for an optimized crystal structure of PmPuSc.

a b c (Å): 5.241 5.241 5.241
angles (deg): 60.00 60.00 60.00
Fractional positions:
Pm (0.000, 0.000, 0.000)
Pu (0.500, 0.500, 0.500)
Sc (0.250, 0.250, 0.250)

Calculated values
The value obtained for the mass density is 7077 kg/m3. Its polymorph energy (0 for the lowest one) is 0 meV per atom. The formation energy comes out at 2.266 eV per formula unit.


DFT (PBE) results for an optimized crystal structure of PmPuSi.

a b c (Å): 4.845 4.845 4.845
angles (deg): 60.00 60.00 60.00
Fractional positions:
Pm (0.000, 0.000, 0.000)
Pu (0.500, 0.500, 0.500)
Si (0.250, 0.250, 0.250)

Calculated values
The value obtained for the mass density is 8610 kg/m3. Its polymorph energy (0 for the lowest one) is 0 meV per atom.


DFT (PBE) results for an optimized crystal structure of PmPuSn6.

a b c (Å): 4.681 4.681 9.400
angles (deg): 90.00 90.00 90.00
Fractional positions:
Pm (0.000, 0.000, 0.000)
Pu (0.000, 0.000, 0.500)
Sn (0.000, 0.500, 0.258)
Sn (0.000, 0.500, 0.742)
Sn (0.500, 0.000, 0.258)
Sn (0.500, 0.000, 0.742)
Sn (0.500, 0.500, 0.000)
Sn (0.500, 0.500, 0.500)

Calculated values
The value obtained for the mass density is 8879 kg/m3. The total energy is -44.33 eV per cell.


DFT (PBE) results for an optimized crystal structure of SrPmPu.

a b c (Å): 5.693 5.693 5.693
angles (deg): 60.00 60.00 60.00
Fractional positions:
Sr (0.000, 0.000, 0.000)
Pm (0.750, 0.750, 0.750)
Pu (0.500, 0.500, 0.500)

Calculated values
The value obtained for the mass density is 6067 kg/m3. Its polymorph energy (0 for the lowest one) is 0 meV per atom.